CrHgOF2: relaxed, GGA+U.

Cell: 4.0299 4.0299 4.0610 Å, 90.00 90.00 90.00°
Space group P4/mmm (No. 123)
Symmetry-distinct sites (fractional):
Cr1 0.0000 0.0000 0.0000 x1
Hg1 0.5000 0.5000 0.5000 x1
O1 0.0000 0.0000 0.5000 x1
F1 0.0000 0.5000 0.0000 x2

- Total moment: 3.05 μB/cell
- Energy relative to the lowest polymorph listed for this composition: 0.0000 eV/atom
- Energy: -0.3556 Ry per atom